(1)
Below is crystalline AcErO3 at its relaxed geometry, with properties calculated at the PBE level.

Summary:
The calculation puts the uncorrected energy at -8.158 eV/atom. As for the spin magnetization: 0.00 μB per cell. The crystal system is trigonal.

Lattice parameters (Å, degrees): 5.9942 5.9942 5.9942 60.98 60.98 60.98
Last column: nearest neighbours and their distance in Å.
Positions (direct):
1 Er 0.5000 0.5000 0.5000  6 O 2.22
2 Er 0.0000 0.0000 0.0000  6 O 2.22
3 O 0.7500 0.3506 0.1494  2 Er 2.22, 1 Ac 2.43
4 Ac 0.2500 0.2500 0.2500  3 O 2.43
5 O 0.3506 0.1494 0.7500  2 Er 2.22, 1 Ac 2.43
6 O 0.2500 0.6494 0.8506  2 Er 2.22, 1 Ac 2.43
7 Ac 0.7500 0.7500 0.7500  3 O 2.43
8 O 0.1494 0.7500 0.3506  2 Er 2.22, 1 Ac 2.43
9 O 0.6494 0.8506 0.2500  2 Er 2.22, 1 Ac 2.43
10 O 0.8506 0.2500 0.6494  2 Er 2.22, 1 Ac 2.43

(2)
Below is crystalline ScNbN2O at its relaxed geometry, with properties calculated at the PBE level.

Summary:
The calculation puts the uncorrected energy at -8.954 eV/atom. As for the spin magnetization: 0.00 μB per cell. The crystal system is orthorhombic.

Lattice parameters (Å, degrees): 5.6389 3.7777 6.1715 90.00 90.00 90.00
Last column: nearest neighbours and their distance in Å.
Positions (direct):
1 Sc 0.2500 0.0000 0.3679  1 N 1.96
2 Nb 0.7500 0.5000 0.2078  4 N 1.91-2.00
3 N 0.7500 0.0000 0.3149  1 Sc 1.96, 2 Nb 2.00
4 O 0.5000 0.5000 0.5000  2 Nb 2.29, 4 Sc 2.49
5 Nb 0.2500 0.5000 0.7922  4 N 1.91-2.00
6 N 0.2500 0.0000 0.6851  1 Sc 1.96, 2 Nb 2.00
7 O 0.0000 0.5000 0.5000  2 Nb 2.29, 4 Sc 2.49
8 N 0.0000 0.5000 0.0000  2 Nb 1.91
9 Sc 0.7500 0.0000 0.6321  1 N 1.96
10 N 0.5000 0.5000 0.0000  2 Nb 1.91